# TaHOs3

An optimized crystal structure of TaHOs3 (GGA-PBE, the Alexandria database).

The offset from the most stable computed form comes out at 29 meV per atom. As for the crystal system: monoclinic.

The structure belongs to space group Cm (No. 8); the cell edges are 9.0536, 5.6460 and 4.9074 Å and the angles 90.00°, 90.61° and 90.00°. The asymmetric unit holds Ta at (0.0000, 0.0000, 0.0000), Ta at (0.2266, 0.5000, 0.6776), H at (0.3624, 0.0000, 0.3381), H at (0.3662, 0.5000, 0.3417), Os at (0.2369, 0.2487, 0.1638), Os at (0.2402, 0.0000, 0.6783), Os at (0.4859, 0.0000, 0.9992) and Os at (0.4893, 0.2481, 0.5139).

# TaHOs3

An optimized crystal structure of TaHOs3 (GGA-PBE, the Alexandria database).

The offset from the most stable computed form comes out at 393 meV per atom. As for the crystal system: monoclinic.

The structure belongs to space group C2/c (No. 15); the cell edges are 12.5844, 9.4832 and 4.6807 Å and the angles 90.00°, 98.42° and 90.00°. The asymmetric unit holds Ta at (0.2103, 0.1130, 0.3749), H at (0.0000, 0.2778, 0.7500), H at (0.0000, 0.2795, 0.2500), Os at (0.0705, 0.3973, 0.5211), Os at (0.0986, 0.1163, 0.8039) and Os at (0.1651, 0.3461, 0.0674).

# TaHOs3

An optimized crystal structure of TaHOs3 (GGA-PBE, the Alexandria database).

The offset from the most stable computed form comes out at 30 meV per atom. As for the crystal system: triclinic.

The structure belongs to space group P1 (No. 1); the cell edges are 4.8803, 5.3253 and 5.3531 Å and the angles 64.29°, 89.08° and 89.82°. The asymmetric unit holds Ta at (0.0000, 0.0000, 0.0000), Ta at (0.3351, 0.7072, 0.7625), H at (0.1729, 0.8551, 0.3785), H at (0.6916, 0.8297, 0.8592), Os at (0.3364, 0.2361, 0.2644), Os at (0.4957, 0.2350, 0.7528), Os at (0.5012, 0.7245, 0.2627), Os at (0.8354, 0.9892, 0.4977), Os at (0.8407, 0.4703, 0.0170) and Os at (0.9985, 0.4746, 0.5016).

# TaHOs3

An optimized crystal structure of TaHOs3 (GGA-PBE, the Alexandria database).

The offset from the most stable computed form comes out at 16 meV per atom. As for the crystal system: monoclinic.

The structure belongs to space group C2/m (No. 12); the cell edges are 9.0240, 5.6688 and 4.9071 Å and the angles 90.00°, 90.39° and 90.00°. The asymmetric unit holds Ta at (0.1285, 0.0000, 0.3347), H at (0.2336, 0.0000, 0.9608), Os at (0.1195, 0.5000, 0.3428) and Os at (0.1219, 0.2557, 0.8229).

# TaHOs3

An optimized crystal structure of TaHOs3 (GGA-PBE, the Alexandria database).

The offset from the most stable computed form comes out at 602 meV per atom. As for the crystal system: monoclinic.

The structure belongs to space group C2/m (No. 12); the cell edges are 13.1546, 3.8645 and 6.6774 Å and the angles 90.00°, 119.37° and 90.00°. The asymmetric unit holds Ta at (0.1364, 0.0000, 0.1623), H at (0.1818, 0.5000, 0.6187), Os at (0.0214, 0.0000, 0.7054), Os at (0.1574, 0.5000, 0.8855) and Os at (0.2054, 0.0000, 0.6181).

# TaHOs3

An optimized crystal structure of TaHOs3 (GGA-PBE, the Alexandria database).

The offset from the most stable computed form comes out at 218 meV per atom. As for the crystal system: monoclinic.

The structure belongs to space group P2_1/c (No. 14); the cell edges are 6.7216, 5.1988 and 9.3269 Å and the angles 90.00°, 127.14° and 90.00°. The asymmetric unit holds Ta at (0.1739, 0.2091, 0.0667), H at (0.0928, 0.6088, 0.4001), Os at (0.0807, 0.5613, 0.8076), Os at (0.3244, 0.6634, 0.2084) and Os at (0.4605, 0.2363, 0.9384).

# Ta2H2Os

An optimized crystal structure of Ta2H2Os (GGA-PBE, the Alexandria database).

The offset from the most stable computed form comes out at 105 meV per atom. As for the crystal system: tetragonal.

The structure belongs to space group P4/mmm (No. 123); the cell edges are 3.0214, 3.0214 and 6.3501 Å and the angles 90.00°, 90.00° and 90.00°. The asymmetric unit holds Ta at (0.0000, 0.0000, 0.2271), H at (0.0000, 0.5000, 0.0000) and Os at (0.5000, 0.5000, 0.5000).

# TaHOs3

An optimized crystal structure of TaHOs3 (GGA-PBE, the Alexandria database).

The offset from the most stable computed form comes out at 408 meV per atom. As for the crystal system: trigonal.

The structure belongs to space group R-3 (No. 148, hexagonal axes); the cell edges are 4.8645, 4.8645 and 20.1395 Å and the angles 90.00°, 90.00° and 120.00°. The asymmetric unit holds Ta at (0.0000, 0.0000, 0.1649), H at (0.0000, 0.0000, 0.4298) and Os at (0.0026, 0.6454, 0.3876).

# TaHOs3

An optimized crystal structure of TaHOs3 (GGA-PBE, the Alexandria database).

The offset from the most stable computed form comes out at 25 meV per atom. As for the crystal system: triclinic.

The structure belongs to space group P-1 (No. 2); the cell edges are 4.9386, 5.3164 and 5.6210 Å and the angles 105.12°, 90.17° and 117.22°. The asymmetric unit holds Ta at (0.0316, 0.2636, 0.1968), H at (0.4876, 0.4970, 0.7480), Os at (0.0314, 0.2434, 0.6928), Os at (0.4575, 0.7508, 0.0672) and Os at (0.4662, 0.7676, 0.5674).

# TaTcHOs2

An optimized crystal structure of TaTcHOs2 (GGA-PBE, the Alexandria database).

The offset from the most stable computed form comes out at 35 meV per atom. As for the crystal system: tetragonal.

The structure belongs to space group P4/mmm (No. 123); the cell edges are 3.9442, 3.9442 and 4.0535 Å and the angles 90.00°, 90.00° and 90.00°. The asymmetric unit holds Ta at (0.0000, 0.0000, 0.0000), Tc at (0.5000, 0.5000, 0.0000), H at (0.0000, 0.0000, 0.5000) and Os at (0.0000, 0.5000, 0.5000).

# Ta2TcHOs

An optimized crystal structure of Ta2TcHOs (GGA-PBE, the Alexandria database).

The offset from the most stable computed form comes out at 9 meV per atom. As for the crystal system: tetragonal.

The structure belongs to space group P4/mmm (No. 123); the cell edges are 4.3791, 4.3791 and 3.5305 Å and the angles 90.00°, 90.00° and 90.00°. The asymmetric unit holds Ta at (0.0000, 0.5000, 0.0000), Tc at (0.0000, 0.0000, 0.5000), H at (0.5000, 0.5000, 0.0000) and Os at (0.5000, 0.5000, 0.5000).

# TaTcHOs2

An optimized crystal structure of TaTcHOs2 (GGA-PBE, the Alexandria database).

The offset from the most stable computed form comes out at 0 meV per atom. As for the crystal system: tetragonal.

The structure belongs to space group P4/mmm (No. 123); the cell edges are 3.9714, 3.9714 and 3.9924 Å and the angles 90.00°, 90.00° and 90.00°. The asymmetric unit holds Ta at (0.0000, 0.0000, 0.0000), Tc at (0.5000, 0.5000, 0.0000), H at (0.5000, 0.5000, 0.5000) and Os at (0.0000, 0.5000, 0.5000).

# Ta2TcHOs

An optimized crystal structure of Ta2TcHOs (GGA-PBE, the Alexandria database).

The offset from the most stable computed form comes out at 0 meV per atom. As for the crystal system: tetragonal.

The structure belongs to space group P4/mmm (No. 123); the cell edges are 4.3622, 4.3622 and 3.5482 Å and the angles 90.00°, 90.00° and 90.00°. The asymmetric unit holds Ta at (0.0000, 0.5000, 0.0000), Tc at (0.0000, 0.0000, 0.5000), H at (0.0000, 0.0000, 0.0000) and Os at (0.5000, 0.5000, 0.5000).

# TaTi2HOs

An optimized crystal structure of TaTi2HOs (GGA-PBE, the Alexandria database).

The offset from the most stable computed form comes out at 0 meV per atom. As for the crystal system: tetragonal.

The structure belongs to space group P4/mmm (No. 123); the cell edges are 3.8277, 3.8277 and 4.5747 Å and the angles 90.00°, 90.00° and 90.00°. The asymmetric unit holds Ta at (0.0000, 0.0000, 0.0000), Ti at (0.0000, 0.5000, 0.5000), H at (0.0000, 0.0000, 0.5000) and Os at (0.5000, 0.5000, 0.0000).

# Ta2TiHOs

An optimized crystal structure of Ta2TiHOs (GGA-PBE, the Alexandria database).

As for the crystal system: tetragonal. The calculation puts the uncorrected energy at -9.3222 eV per atom.

The structure belongs to space group P4/mmm (No. 123); the cell edges are 3.9441, 3.9441 and 4.4686 Å and the angles 90.00°, 90.00° and 90.00°. The asymmetric unit holds Ta at (0.0000, 0.5000, 0.0000), Ti at (0.0000, 0.0000, 0.5000), H at (0.0000, 0.0000, 0.0000) and Os at (0.5000, 0.5000, 0.5000).

# TaTi2HOs

An optimized crystal structure of TaTi2HOs (GGA-PBE, the Alexandria database).

The offset from the most stable computed form comes out at 42 meV per atom. As for the crystal system: tetragonal.

The structure belongs to space group P4/mmm (No. 123); the cell edges are 4.3712, 4.3712 and 3.5229 Å and the angles 90.00°, 90.00° and 90.00°. The asymmetric unit holds Ta at (0.0000, 0.0000, 0.0000), Ti at (0.0000, 0.5000, 0.5000), H at (0.5000, 0.5000, 0.5000) and Os at (0.5000, 0.5000, 0.0000).

# Ta2VHOs

An optimized crystal structure of Ta2VHOs (GGA-PBE, the Alexandria database).

The offset from the most stable computed form comes out at 0 meV per atom. As for the crystal system: tetragonal.

The structure belongs to space group P4/mmm (No. 123); the cell edges are 4.4640, 4.4640 and 3.3048 Å and the angles 90.00°, 90.00° and 90.00°. The asymmetric unit holds Ta at (0.0000, 0.5000, 0.0000), V at (0.0000, 0.0000, 0.5000), H at (0.0000, 0.0000, 0.0000) and Os at (0.5000, 0.5000, 0.5000).

# Ta2VHOs

An optimized crystal structure of Ta2VHOs (GGA-PBE, the Alexandria database).

The offset from the most stable computed form comes out at 134 meV per atom. As for the crystal system: tetragonal.

The structure belongs to space group P4/mmm (No. 123); the cell edges are 4.3890, 4.3890 and 3.4916 Å and the angles 90.00°, 90.00° and 90.00°. The asymmetric unit holds Ta at (0.0000, 0.5000, 0.0000), V at (0.0000, 0.0000, 0.5000), H at (0.5000, 0.5000, 0.0000) and Os at (0.5000, 0.5000, 0.5000).

# TaV2HOs

An optimized crystal structure of TaV2HOs (GGA-PBE, the Alexandria database).

The offset from the most stable computed form comes out at 0 meV per atom. As for the crystal system: tetragonal.

The structure belongs to space group P4/mmm (No. 123); the cell edges are 3.7620, 3.7620 and 4.3933 Å and the angles 90.00°, 90.00° and 90.00°. The asymmetric unit holds Ta at (0.0000, 0.0000, 0.0000), V at (0.0000, 0.5000, 0.5000), H at (0.0000, 0.0000, 0.5000) and Os at (0.5000, 0.5000, 0.0000).

# TaV2HOs

An optimized crystal structure of TaV2HOs (GGA-PBE, the Alexandria database).

The offset from the most stable computed form comes out at 56 meV per atom. As for the crystal system: tetragonal.

The structure belongs to space group P4/mmm (No. 123); the cell edges are 3.7588, 3.7588 and 4.4061 Å and the angles 90.00°, 90.00° and 90.00°. The asymmetric unit holds Ta at (0.0000, 0.0000, 0.0000), V at (0.0000, 0.5000, 0.5000), H at (0.5000, 0.5000, 0.5000) and Os at (0.5000, 0.5000, 0.0000).

# TaHOsW2

An optimized crystal structure of TaHOsW2 (GGA-PBE, the Alexandria database).

As for the crystal system: tetragonal. The calculation puts the uncorrected energy at -10.3209 eV per atom.

The structure belongs to space group P4/mmm (No. 123); the cell edges are 3.9923, 3.9923 and 4.2058 Å and the angles 90.00°, 90.00° and 90.00°. The asymmetric unit holds Ta at (0.0000, 0.0000, 0.0000), H at (0.0000, 0.0000, 0.5000), Os at (0.5000, 0.5000, 0.0000) and W at (0.0000, 0.5000, 0.5000).

# Zr2TaHOs

An optimized crystal structure of Zr2TaHOs (GGA-PBE, the Alexandria database).

As for the crystal system: tetragonal. The calculation puts the uncorrected energy at -8.1163 eV per atom.

The structure belongs to space group P4/mmm (No. 123); the cell edges are 5.2592, 5.2592 and 3.2678 Å and the angles 90.00°, 90.00° and 90.00°. The asymmetric unit holds Zr at (0.0000, 0.5000, 0.0000), Ta at (0.0000, 0.0000, 0.5000), H at (0.5000, 0.5000, 0.5000) and Os at (0.5000, 0.5000, 0.0000).

# Tc2H2Os

An optimized crystal structure of Tc2H2Os (GGA-PBE, the Alexandria database).

The offset from the most stable computed form comes out at 0 meV per atom. As for the crystal system: tetragonal.

The structure belongs to space group I4/mmm (No. 139); the cell edges are 2.8561, 2.8561 and 12.0112 Å and the angles 90.00°, 90.00° and 90.00°. The asymmetric unit holds Tc at (0.0000, 0.0000, 0.1500), H at (0.0000, 0.5000, 0.2500) and Os at (0.0000, 0.0000, 0.5000).

# TcH2Os

An optimized crystal structure of TcH2Os (GGA-PBE, the Alexandria database).

The offset from the most stable computed form comes out at 0 meV per atom. As for the crystal system: tetragonal.

The structure belongs to space group I-42d (No. 122); the cell edges are 4.1349, 4.1349 and 8.2470 Å and the angles 90.00°, 90.00° and 90.00°. The asymmetric unit holds Tc at (0.0000, 0.0000, 0.0000), H at (0.2461, 0.2500, 0.6250) and Os at (0.0000, 0.0000, 0.5000).

# Tc2HOs

An optimized crystal structure of Tc2HOs (GGA-PBE, the Alexandria database).

The offset from the most stable computed form comes out at 555 meV per atom. As for the crystal system: trigonal.

The structure belongs to space group R-3m (No. 166, hexagonal axes); the cell edges are 2.7701, 2.7701 and 21.7230 Å and the angles 90.00°, 90.00° and 120.00°. The asymmetric unit holds Tc at (0.0000, 0.0000, 0.1140), H at (0.0000, 0.0000, 0.5000) and Os at (0.0000, 0.0000, 0.0000).